No. 1
A relaxed structure of Pr2Tm5In, computed with PBE.

Cell lengths 5.2212, 11.1123, 11.3204 Å; angles 90.00, 90.00, 103.59 degrees
Positions (direct):
Pr 0.8700 0.7400 0.4017
Pr 0.8700 0.7400 0.0983
Pr 0.1300 0.2600 0.5983
Pr 0.1300 0.2600 0.9017
Tm 0.9713 0.9426 0.8781
Tm 0.9713 0.9426 0.6219
Tm 0.2705 0.5410 0.4150
Tm 0.2705 0.5410 0.0850
Tm 0.7228 0.4455 0.2500
Tm 0.2772 0.5545 0.7500
Tm 0.7295 0.4590 0.5850
Tm 0.7295 0.4590 0.9150
Tm 0.0287 0.0574 0.1219
Tm 0.0287 0.0574 0.3781
In 0.8493 0.6987 0.7500
In 0.1507 0.3013 0.2500

* total energy: -59.5 eV per cell
* crystal system: orthorhombic
* energy above the most stable polymorph in this dataset: 708 meV/atom
* DFT formation energy: 0.61 eV per atom
* SG: No. 63


No. 2
A relaxed structure of K2YMg3F12, computed with PBE.

Cell lengths 6.9961, 6.9961, 6.9961 Å; angles 64.43, 64.43, 64.43 degrees
Each line ends with the local moment (μB).
Positions (direct):
K 0.6103 0.6103 0.6103  0.00
K 0.3897 0.3897 0.3897  0.00
Y 0.0000 0.0000 0.0000  -0.01
Mg 0.5000 0.0000 0.0000  0.00
Mg 0.0000 0.5000 0.0000  0.00
Mg 0.0000 0.0000 0.5000  0.00
F 0.2745 0.2745 0.8994  0.05
F 0.8750 0.8750 0.3819  0.13
F 0.3819 0.8750 0.8750  0.13
F 0.8994 0.2745 0.2745  0.05
F 0.8750 0.3819 0.8750  0.13
F 0.2745 0.8994 0.2745  0.05
F 0.7255 0.7255 0.1006  0.05
F 0.1250 0.1250 0.6181  0.13
F 0.6181 0.1250 0.1250  0.13
F 0.1006 0.7255 0.7255  0.05
F 0.1250 0.6181 0.1250  0.13
F 0.7255 0.1006 0.7255  0.05

* total energy: -94.4 eV per cell
* crystal system: trigonal
* formation energy from raw total energies: -3.253 eV/atom
* SG: No. 166


No. 3
A relaxed structure of Cs2AgCl, computed with PBE.

Cell lengths 5.1496, 5.1496, 9.2166 Å; angles 73.78, 73.78, 60.00 degrees
Positions (direct):
Cs 0.2578 0.2578 0.2265
Cs 0.7422 0.7422 0.7735
Ag 0.5000 0.5000 0.5000
Cl 0.0000 0.0000 0.0000

* total energy: -10.1 eV per cell
* crystal system: trigonal
* formation energy from raw total energies: -0.925 eV/atom
* energy above the most stable polymorph in this dataset: 31 meV/atom
* SG: No. 166


No. 4
A relaxed structure of TmAgBi, computed with PBE.

Cell lengths 4.1774, 4.6460, 4.6460 Å; angles 120.00, 90.00, 90.00 degrees
Positions (direct):
Tm 0.6335 0.6667 0.3333
Bi 0.0562 0.0000 0.0000
Ag 0.3103 0.3333 0.6667

* total energy: -12.1 eV per cell
* crystal system: trigonal
* DFT formation energy: -0.31 eV per atom
* SG: No. 156


No. 5
A relaxed structure of CoRu, computed with PBE.

Cell lengths 10.3774, 10.3774, 2.5456 Å; angles 90.00, 90.00, 90.00 degrees
Each line ends with the local moment (μB).
Positions (direct):
Co 0.6602 0.5057 0.5000  1.00
Co 0.3398 0.4943 0.5000  1.00
Co 0.4943 0.6602 0.5000  1.00
Co 0.5057 0.3398 0.5000  1.00
Co 0.9280 0.3598 0.0000  -0.45
Co 0.0720 0.6402 0.0000  -0.45
Co 0.6402 0.9280 0.0000  -0.45
Co 0.3598 0.0720 0.0000  -0.45
Ru 0.7360 0.2911 0.5000  0.04
Ru 0.2640 0.7089 0.5000  0.04
Ru 0.7089 0.7360 0.5000  0.04
Ru 0.2911 0.2640 0.5000  0.04
Ru 0.8604 0.5709 0.0000  -0.09
Ru 0.1396 0.4291 0.0000  -0.09
Ru 0.4291 0.8604 0.0000  -0.09
Ru 0.5709 0.1396 0.0000  -0.09

* total energy: -118.2 eV per cell
* crystal system: tetragonal
* DFT formation energy: 0.81 eV per atom
* SG: No. 83


No. 6
A relaxed structure of DyMgScRh, computed with PBE.

Cell lengths 4.9121, 4.9121, 4.9121 Å; angles 60.00, 60.00, 60.00 degrees
Positions (direct):
Sc 0.7500 0.7500 0.7500
Mg 0.0000 0.0000 0.0000
Rh 0.5000 0.5000 0.5000
Dy 0.2500 0.2500 0.2500

* total energy: -21.6 eV per cell
* crystal system: cubic
* energy above the most stable polymorph in this dataset: 85 meV/atom
* DFT formation energy: -0.42 eV per atom
* SG: No. 216


No. 7
A relaxed structure of Pm6PdRh2Cl3, computed with PBE.

Cell lengths 4.0951, 8.8689, 9.7595 Å; angles 109.19, 102.11, 90.00 degrees
Positions (direct):
Pm 0.3397 0.8884 0.6795
Pm 0.6783 0.5574 0.3567
Pm 0.6603 0.1116 0.3205
Pm 0.0116 0.2325 0.0233
Pm 0.9884 0.7675 0.9767
Pm 0.3217 0.4426 0.6433
Pd 0.5000 0.0000 0.0000
Rh 0.8344 0.6693 0.6688
Rh 0.1656 0.3307 0.3312
Cl 0.5000 0.5000 0.0000
Cl 0.8325 0.1652 0.6651
Cl 0.1675 0.8348 0.3349

* total energy: -67.8 eV per cell
* crystal system: monoclinic
* formation energy from raw total energies: -1.155 eV/atom
* SG: No. 12


No. 8
A relaxed structure of RbSmPb2Br8, computed with PBE.

Cell lengths 7.3084, 6.9348, 9.4052 Å; angles 89.94, 89.97, 89.05 degrees
Positions (direct):
Rb 0.0000 0.0000 0.5000
Sm 0.0000 0.0000 0.0000
Pb 0.5001 0.4999 0.7491
Pb 0.4999 0.5001 0.2509
Br 0.1560 0.7549 0.2155
Br 0.6768 0.7575 0.9998
Br 0.8434 0.2445 0.2152
Br 0.8440 0.2451 0.7845
Br 0.3232 0.2425 0.0002
Br 0.1566 0.7555 0.7848
Br 0.6223 0.7308 0.4997
Br 0.3777 0.2692 0.5003

* total energy: -42.8 eV per cell
* crystal system: triclinic
* formation energy from raw total energies: -1.356 eV/atom
* SG: No. 2


No. 9
A relaxed structure of LiAc3Zn3, computed with PBE.

Cell lengths 5.0162, 5.8472, 15.1434 Å; angles 85.50, 80.47, 64.60 degrees
Positions (direct):
Li 0.7648 0.0617 0.4087
Li 0.2352 0.9383 0.5913
Ac 0.5285 0.3236 0.6194
Ac 0.4715 0.6764 0.3806
Ac 0.2392 0.2969 0.2246
Ac 0.7608 0.7031 0.7754
Ac 0.3891 0.2970 0.9249
Ac 0.6109 0.7030 0.0751
Zn 0.8678 0.7138 0.5505
Zn 0.1322 0.2862 0.4495
Zn 0.0891 0.8994 0.9223
Zn 0.9109 0.1006 0.0777
Zn 0.9308 0.9014 0.2370
Zn 0.0692 0.0986 0.7630

* total energy: -38.8 eV per cell
* crystal system: monoclinic
* DFT formation energy: -0.19 eV per atom
* SG: No. 12


No. 10
A relaxed structure of K3AlH6, computed with PBE.

Cell lengths 5.9615, 5.9855, 10.3064 Å; angles 55.20, 90.00, 90.00 degrees
Positions (direct):
K 0.5000 0.5000 0.0000
K 0.0000 0.5000 0.5000
K 0.9763 0.7576 0.7477
K 0.4763 0.2424 0.7523
K 0.0237 0.2424 0.2523
K 0.5237 0.7576 0.2477
Al 0.5000 0.0000 0.5000
Al 0.0000 0.0000 0.0000
H 0.7384 0.8627 0.4656
H 0.2384 0.1373 0.0344
H 0.2616 0.1373 0.5344
H 0.7616 0.8627 0.9656
H 0.8228 0.2020 0.0319
H 0.3228 0.7980 0.4681
H 0.1772 0.7980 0.9681
H 0.6772 0.2020 0.5319
H 0.9857 0.7347 0.2046
H 0.4857 0.2653 0.2954
H 0.0143 0.2653 0.7954
H 0.5143 0.7347 0.7046

* total energy: -58.9 eV per cell
* crystal system: monoclinic
* SG: No. 14


No. 11
A relaxed structure of Ru5Se3, computed with PBE.

Cell lengths 7.1188, 7.1184, 7.1275 Å; angles 99.83, 99.83, 131.23 degrees
Positions (direct):
Ru 0.2801 0.7805 0.5004
Ru 0.7831 0.2835 0.5000
Ru 0.8040 0.0852 0.8022
Ru 0.2823 0.0020 0.1968
Ru 0.7824 0.5859 0.2810
Ru 0.3041 0.5023 0.7193
Ru 0.5851 0.3045 0.8026
Ru 0.5017 0.7828 0.1972
Ru 0.0852 0.2828 0.2811
Ru 0.0020 0.8049 0.7194
Se 0.7659 0.7671 0.0000
Se 0.2666 0.2665 0.0001
Se 0.1940 0.0818 0.4998
Se 0.5815 0.6939 0.4997
Se 0.0815 0.5820 0.8883
Se 0.6938 0.1943 0.1120

* total energy: -109.2 eV per cell
* crystal system: monoclinic
* formation energy from raw total energies: 0.280 eV/atom
* energy above the most stable polymorph in this dataset: 0 meV/atom
* SG: No. 8


No. 12
A relaxed structure of PmPb2, computed with PBE.

Cell lengths 4.0139, 4.0139, 6.3029 Å; angles 108.57, 108.57, 90.00 degrees
Positions (direct):
Pb 0.6792 0.6792 0.3583
Pb 0.3208 0.3208 0.6417
Pm 0.0000 0.0000 0.0000

* total energy: -12.9 eV per cell
* crystal system: tetragonal
* energy above the most stable polymorph in this dataset: 186 meV/atom
* DFT formation energy: -0.25 eV per atom
* SG: No. 139


No. 13
A relaxed structure of Ac8PtAu2, computed with PBE.

Cell lengths 5.4845, 7.5135, 10.1572 Å; angles 99.84, 105.66, 90.00 degrees
Positions (direct):
Ac 0.4115 0.5560 0.8229
Ac 0.6607 0.9773 0.3214
Ac 0.7935 0.6592 0.5871
Ac 0.9717 0.2174 0.9435
Ac 0.2065 0.3408 0.4129
Ac 0.3393 0.0227 0.6786
Ac 0.5885 0.4440 0.1771
Ac 0.0283 0.7826 0.0565
Pt 0.5000 0.0000 0.0000
Au 0.8102 0.2482 0.6204
Au 0.1898 0.7518 0.3796

* total energy: -50.3 eV per cell
* crystal system: monoclinic
* energy above the most stable polymorph in this dataset: 56 meV/atom
* DFT formation energy: -0.44 eV per atom
* SG: No. 12


No. 14
A relaxed structure of TiFe3S, computed with PBE.

Cell lengths 4.3940, 4.3940, 4.3940 Å; angles 90.00, 90.00, 90.00 degrees
Each line ends with the local moment (μB).
Positions (direct):
S 0.5000 0.5000 0.5000  0.11
Fe 0.0000 0.5000 0.0000  2.38
Fe 0.0000 0.0000 0.5000  2.33
Fe 0.5000 0.0000 0.0000  2.09
Ti 0.0000 0.0000 0.0000  -0.96

* total energy: -30.9 eV per cell
* crystal system: cubic
* formation energy from raw total energies: 1.302 eV/atom
* energy above the most stable polymorph in this dataset: 1212 meV/atom
* SG: No. 221


No. 15
A relaxed structure of LiV2Pd8, computed with PBE.

Cell lengths 4.5581, 6.8139, 6.8139 Å; angles 119.57, 101.67, 101.67 degrees
Positions (direct):
Li 0.5000 0.0000 0.0000
V 0.0000 0.3052 0.6948
V 0.0000 0.6948 0.3052
Pd 0.8723 0.9004 0.6666
Pd 0.8723 0.6666 0.9004
Pd 0.3058 0.6209 0.6209
Pd 0.5000 0.7850 0.2150
Pd 0.5000 0.2150 0.7850
Pd 0.6942 0.3791 0.3791
Pd 0.1277 0.3334 0.0996
Pd 0.1277 0.0996 0.3334

* total energy: -63.0 eV per cell
* crystal system: monoclinic
* energy above the most stable polymorph in this dataset: 129 meV/atom
* DFT formation energy: -0.12 eV per atom
* SG: No. 12


No. 16
A relaxed structure of LaBeGe3, computed with PBE.

Cell lengths 6.1017, 5.9858, 6.1023 Å; angles 105.32, 79.36, 74.69 degrees
Positions (direct):
Be 0.1336 0.6299 0.9968
Be 0.4584 0.1300 0.3217
Ge 0.8884 0.4952 0.6895
Ge 0.7657 0.9954 0.5673
Ge 0.1335 0.4455 0.2911
Ge 0.7967 0.9485 0.9937
Ge 0.1641 0.9455 0.3218
Ge 0.4619 0.4484 0.6586
La 0.6290 0.5285 0.1707
La 0.2846 0.0285 0.8263

* total energy: -48.2 eV per cell
* crystal system: monoclinic
* energy above the most stable polymorph in this dataset: 9 meV/atom
* DFT formation energy: -0.31 eV per atom
* SG: No. 9


No. 17
A relaxed structure of RbLuPb2, computed with PBE.

Cell lengths 4.0692, 4.0692, 8.3863 Å; angles 90.00, 90.00, 90.00 degrees
Positions (direct):
Pb 0.0000 0.0000 0.8117
Pb 0.0000 0.0000 0.1883
Lu 0.5000 0.5000 0.0000
Rb 0.5000 0.5000 0.5000

* total energy: -13.9 eV per cell
* crystal system: tetragonal
* energy above the most stable polymorph in this dataset: 0 meV/atom
* DFT formation energy: -0.26 eV per atom
* SG: No. 123


No. 18
A relaxed structure of TaAlTe2, computed with PBE.

Cell lengths 10.1068, 10.1068, 10.1068 Å; angles 20.37, 20.37, 20.37 degrees
Positions (direct):
Te 0.8967 0.8967 0.8967
Te 0.1033 0.1033 0.1033
Al 0.0000 0.0000 0.0000
Ta 0.5000 0.5000 0.5000

* total energy: -21.7 eV per cell
* crystal system: trigonal
* formation energy from raw total energies: 0.046 eV/atom
* SG: No. 166


No. 19
A relaxed structure of CoBiP3, computed with PBE.

Cell lengths 4.4994, 4.4994, 4.4994 Å; angles 90.00, 90.00, 90.00 degrees
Each line ends with the local moment (μB).
Positions (direct):
P 0.0000 0.5000 0.0000  0.07
P 0.0000 0.0000 0.5000  0.08
P 0.5000 0.0000 0.0000  0.07
Co 0.0000 0.0000 0.0000  0.46
Bi 0.5000 0.5000 0.5000  -0.05

* total energy: -24.9 eV per cell
* crystal system: cubic
* energy above the most stable polymorph in this dataset: 0 meV/atom
* DFT formation energy: 0.46 eV per atom
* SG: No. 221


No. 20
A relaxed structure of NdTm2Hg5, computed with PBE.

Cell lengths 5.2209, 5.2209, 8.1974 Å; angles 108.57, 108.57, 90.00 degrees
Positions (direct):
Nd 0.0000 0.0000 0.0000
Tm 0.7342 0.7342 0.4685
Tm 0.2658 0.2658 0.5315
Hg 0.5000 0.5000 0.0000
Hg 0.8694 0.3694 0.7388
Hg 0.3694 0.8694 0.7388
Hg 0.1306 0.6306 0.2612
Hg 0.6306 0.1306 0.2612

* total energy: -18.7 eV per cell
* crystal system: tetragonal
* DFT formation energy: -0.43 eV per atom
* SG: No. 139


No. 21
A relaxed structure of MgCuTe2I, computed with PBE.

Cell lengths 5.2152, 5.2152, 5.4049 Å; angles 90.00, 90.00, 90.00 degrees
Positions (direct):
I 0.0000 0.0000 0.5000
Mg 0.5000 0.5000 0.5000
Te 0.0000 0.5000 0.0000
Te 0.5000 0.0000 0.0000
Cu 0.0000 0.0000 0.0000

* total energy: -12.6 eV per cell
* crystal system: tetragonal
* formation energy from raw total energies: 0.192 eV/atom
* energy above the most stable polymorph in this dataset: 0 meV/atom
* SG: No. 123


No. 22
A relaxed structure of BIN3, computed with PBE.

Cell lengths 3.5249, 3.5249, 3.5249 Å; angles 90.00, 90.00, 90.00 degrees
Positions (direct):
I 0.5000 0.5000 0.5000
B 0.0000 0.0000 0.0000
N 0.0000 0.5000 0.0000
N 0.0000 0.0000 0.5000
N 0.5000 0.0000 0.0000

* total energy: -23.6 eV per cell
* crystal system: cubic
* formation energy from raw total energies: 1.927 eV/atom
* SG: No. 221


No. 23
A relaxed structure of KBiPd3, computed with PBE.

Cell lengths 5.2098, 5.2098, 5.2098 Å; angles 90.00, 90.00, 90.00 degrees
Positions (direct):
K 0.5000 0.5000 0.5000
Bi 0.0000 0.0000 0.0000
Pd 0.0000 0.5000 0.0000
Pd 0.0000 0.0000 0.5000
Pd 0.5000 0.0000 0.0000

* total energy: -19.6 eV per cell
* crystal system: cubic
* energy above the most stable polymorph in this dataset: 346 meV/atom
* DFT formation energy: 0.20 eV per atom
* SG: No. 221